K2VCrO5 | PBE with a Hubbard U | relaxed

Lattice parameters (Å, degrees): 3.259 6.338 13.067 90.00 90.00 104.90
Each line ends with the local moment (μB).
Atoms (fractional coordinates):
O 0.496 0.992 0.820  0.00
O 0.945 0.890 0.515  -0.03
O 0.683 0.365 0.932  -0.05
K 0.074 0.147 0.672  0.00
O 0.274 0.549 0.624  -0.05
O 0.504 0.008 0.320  0.00
V 0.477 0.953 0.448  0.10
O 0.612 0.224 0.499  -0.05
K 0.179 0.358 0.285  0.00
O 0.388 0.776 0.999  -0.05
O 0.726 0.451 0.124  -0.05
Cr 0.222 0.443 0.028  3.00
O 0.317 0.635 0.432  -0.05
K 0.926 0.853 0.172  0.00
K 0.821 0.642 0.785  0.00
V 0.523 0.047 0.948  0.10
O 0.055 0.110 0.015  -0.03
Cr 0.778 0.557 0.528  3.00

Values from the calculation:
symmetry: Cmc2_1 (36)
E: -6.459 eV per atom